This record from Alexandria describes crystalline Sr2LiAg2 at its relaxed geometry. The functional is PBE.

abc: 6.2329 6.2329 6.0902
angles: 59.22 59.22 90.00
Fractional coordinates of all 5 atoms:
Sr (0.7500, 0.2500, 0.5000)
Sr (0.2500, 0.7500, 0.5000)
Ag (0.3378, 0.3378, 0.3244)
Ag (0.6622, 0.6622, 0.6756)
Li (0.0000, 0.0000, 0.0000)

Values from the calculation:
Energy   -2.283 eV per atom
Symmetry   I4/mmm (139)
Energy of formation   -0.09 eV/atom
ΔE to the lowest computed polymorph   16.4 kJ/mol of atoms



This record from Alexandria describes crystalline PmY2Al2 at its relaxed geometry. The functional is PBE.

abc: 3.7322 8.4630 8.4630
angles: 90.00 90.00 90.00
Fractional coordinates of all 10 atoms:
Pm (0.5000, 0.5000, 0.0000)
Pm (0.5000, 0.0000, 0.5000)
Y (0.0000, 0.6782, 0.3218)
Y (0.0000, 0.8218, 0.8218)
Y (0.0000, 0.1782, 0.1782)
Y (0.0000, 0.3218, 0.6782)
Al (0.5000, 0.3843, 0.3843)
Al (0.5000, 0.8843, 0.1157)
Al (0.5000, 0.1157, 0.8843)
Al (0.5000, 0.6157, 0.6157)

Values from the calculation:
Energy   -5.341 eV per atom
Symmetry   P4/mbm (127)
Energy of formation   -0.31 eV/atom
ΔE to the lowest computed polymorph   0.0 kJ/mol of atoms



This record from Alexandria describes crystalline LaIr2Os at its relaxed geometry. The functional is PBE.

abc: 5.0083 5.0083 2.9232
angles: 89.99 89.99 108.02
Fractional coordinates of all 4 atoms:
Ir (0.0000, 0.0000, 0.0000)
Ir (0.5000, 0.5000, 0.0000)
La (0.5000, 0.0000, 0.5000)
Os (0.0000, 0.5000, 0.5000)

Values from the calculation:
Energy   -8.358 eV per atom
Symmetry   Cmmm (65)
Energy of formation   0.11 eV/atom
ΔE to the lowest computed polymorph   6.4 kJ/mol of atoms